Record 1
PBE-GGA YAlSb2, optimized geometry; raw formation energy = -163.9 kJ/mol of formula units; magnetization = 0.00 Bohr magnetons per cell
1.0
4.0619 0.0000 0.0000
0.0000 3.9523 -0.0052
0.0000 3.8157 6.2345
Y Sb Al
1 2 1
direct
0.5000 0.2500 0.2500
0.0000 0.9961 0.9958
0.0000 0.5039 0.5042
0.5000 0.7500 0.7500

Record 2
PBE-GGA Os3AuBr, optimized geometry; raw formation energy = 1176.9 kJ/mol of formula units; E above lowest polymorph = 0 meV per atom; magnetization = 1.64 Bohr magnetons per cell
1.0
-3.5838 -1.6581 -2.2593
2.2850 -3.8523 -0.7973
-1.6225 -1.7629 3.8675
Os Au Br
3 1 1
direct
0.0000 0.5000 0.0000
0.0000 0.0000 0.5000
0.5000 0.0000 0.0000
0.5000 0.5000 0.5000
0.0000 0.0000 0.0000

What is the magnetization in the second record?
1.64 Bohr magnetons per cell